This record from the Alexandria database describes an optimized crystal structure of MnRhN2F. The functional is GGA+U.

Values from the calculation:
Magnetic moment, μB/f.u.: 4.8
N(E_F), states/eV per atom: 0.408
Calculated volume, Å³/atom: 13.5
E, eV per atom: -6.2040

Cell: 3.796 3.796 4.668 Å, 90.00 90.00 90.00°
Last column: magnetic moment on the atom in μB.
Sites, in units of the cell vectors:
F 0.000 0.000 0.500  0.03
Rh 0.000 0.000 0.000  0.06
Mn 0.500 0.500 0.500  4.72
N 0.000 0.500 0.000  -0.12
N 0.500 0.000 0.000  -0.12